Na2CrCoF6: optimized geometry, GGA+U. Values from VASP.

Values from the calculation:
Electronic total energy ... -103.16 eV/cell

Structure (Quantum ESPRESSO input):
```
&SYSTEM
  ibrav = 0, nat = 20, ntyp = 4
/
ATOMIC_SPECIES
Na 22.99 Na.upf
Cr 52.00 Cr.upf
Co 58.93 Co.upf
F 19.00 F.upf
CELL_PARAMETERS angstrom
5.538 0.000 0.037
0.000 5.848 0.000
0.096 0.000 7.869
ATOMIC_POSITIONS crystal
Na 0.017 0.935 0.258
Na 0.517 0.565 0.758
Na 0.983 0.065 0.742
Na 0.483 0.435 0.242
Cr 0.500 0.000 0.500
Cr 0.000 0.500 0.000
Co 0.500 0.000 0.000
Co 0.000 0.500 0.500
F 0.308 0.692 0.049
F 0.808 0.808 0.549
F 0.692 0.308 0.951
F 0.192 0.192 0.451
F 0.292 0.677 0.432
F 0.792 0.823 0.932
F 0.708 0.323 0.568
F 0.208 0.177 0.068
F 0.888 0.540 0.247
F 0.388 0.960 0.747
F 0.112 0.460 0.753
F 0.612 0.040 0.253
```